PBE Tl3NiAs, relaxed; calculated formation energy = 0.8683 eV/atom
1.0
5.497 0.000 0.000
0.000 5.497 0.000
0.000 0.000 5.497
As Tl Ni
1 3 1
Direct
0.000 0.000 0.000
0.000 0.000 0.500
0.500 0.000 0.000
0.000 0.500 0.000
0.500 0.500 0.500


PBE ZnCuCl2, relaxed; raw formation energy = -1.5 eV/f.u.
1.0
-3.776 4.633 -0.657
-0.617 -1.073 -5.885
-1.234 -1.634 5.654
Cl Cu Zn
2 1 1
Direct
0.923 0.923 0.000
0.333 0.833 0.500
0.512 0.512 0.000
0.733 0.233 0.500


PBE Cd2Re2Se, relaxed; raw formation energy = 4.0 eV/f.u.
1.0
8.370 0.000 0.000
0.000 8.370 0.000
0.000 0.000 2.840
Se Re Cd
2 4 4
Direct
0.000 0.000 0.000
0.500 0.500 0.000
0.098 0.402 0.000
0.402 0.902 0.000
0.902 0.598 0.000
0.598 0.098 0.000
0.693 0.807 0.500
0.193 0.693 0.500
0.307 0.193 0.500
0.807 0.307 0.500


PBE ZnHgW2, relaxed; calculated formation energy = 0.4545 eV/atom
1.0
-1.789 -1.356 -2.456
2.777 -1.271 -1.321
-0.752 -5.191 3.414
Hg W Zn
1 2 1
Direct
0.500 0.500 0.731
0.000 0.000 0.045
0.500 0.500 0.234
0.000 0.000 0.489